First-principles (PBE-GGA) data for a relaxed Li2ZnGe crystal, as listed in Alexandria.

Calculated values
Calculated formation energy   0.01 eV/f.u.
Space-group type   I-42d (122)
E   -19.414 eV/cell

Cell: 5.766 5.766 5.766 Å, 102.03 102.03 125.68°
Fractional coordinates of all 8 atoms:
Li: 0.122 0.625 0.997
Li: 0.375 0.372 0.497
Li: 0.628 0.125 0.003
Li: 0.875 0.878 0.503
Zn: 0.000 0.000 0.000
Zn: 0.750 0.250 0.500
Ge: 0.250 0.750 0.500
Ge: 0.500 0.500 0.000